(1)
The following is a DFT calculation (PBE-GGA) of a relaxed structure of Ce4PuCo2.

a = 7.4617 Å, b = 7.4617 Å, c = 7.5239 Å
α = 120.27°, β = 120.27°, γ = 71.05°
Element x y z (fractional)
Ce 0.0000 0.0000 0.0000
Ce 0.0845 0.5028 0.4470
Ce 0.4158 0.9978 0.8604
Ce 0.5006 0.5006 0.0004
Ce 0.5028 0.0845 0.4470
Ce 0.5623 0.5623 0.5202
Ce 0.9384 0.9384 0.3964
Ce 0.9978 0.4158 0.8604
Pu 0.7008 0.7008 0.9625
Pu 0.7999 0.7999 0.5616
Co 0.1837 0.1837 0.5264
Co 0.2493 0.7502 0.2718
Co 0.3171 0.3171 0.1599
Co 0.7502 0.2493 0.2718

Output
Spin magnetization (μB/f.u.): 5.36
Crystal system: monoclinic
VASP energy (eV/atom): -7.483
Formation enthalpy at 0 K (eV per atom): -0.0147
DOS at the Fermi energy (states/eV/cell): 20.838

=====

(2)
The following is a DFT calculation (PBE-GGA) of a relaxed structure of CePuCo2.

a = 4.6598 Å, b = 4.6598 Å, c = 3.3799 Å
α = 90.00°, β = 90.00°, γ = 90.00°
Element x y z (fractional)
Ce 0.0000 0.0000 0.0000
Pu 0.5000 0.5000 0.0000
Co 0.0000 0.5000 0.5000
Co 0.5000 0.0000 0.5000

Output
Spin magnetization (μB/f.u.): 4.76
Crystal system: tetragonal
Offset from the most stable computed form (meV per atom): 68
VASP energy (eV/atom): -8.633
Formation enthalpy at 0 K (eV per atom): -0.0135
DOS at the Fermi energy (states/eV/cell): 10.492

=====

(3)
The following is a DFT calculation (PBE-GGA) of a relaxed structure of CePuCoRh.

a = 6.5497 Å, b = 6.5497 Å, c = 6.5497 Å
α = 90.00°, β = 90.00°, γ = 90.00°
Element x y z (fractional)
Ce 0.0000 0.0000 0.0000
Ce 0.0000 0.5000 0.5000
Ce 0.5000 0.0000 0.5000
Ce 0.5000 0.5000 0.0000
Pu 0.2500 0.2500 0.2500
Pu 0.2500 0.7500 0.7500
Pu 0.7500 0.2500 0.7500
Pu 0.7500 0.7500 0.2500
Co 0.2500 0.2500 0.7500
Co 0.2500 0.7500 0.2500
Co 0.7500 0.2500 0.2500
Co 0.7500 0.7500 0.7500
Rh 0.0000 0.0000 0.5000
Rh 0.0000 0.5000 0.0000
Rh 0.5000 0.0000 0.0000
Rh 0.5000 0.5000 0.5000

Output
Spin magnetization (μB/f.u.): 4.46
Crystal system: cubic
VASP energy (eV/atom): -8.990
Formation enthalpy at 0 K (eV per atom): -0.3093
DOS at the Fermi energy (states/eV/cell): 32.643

=====

(4)
The following is a DFT calculation (PBE-GGA) of a relaxed structure of CePuCoRu.

a = 6.7699 Å, b = 6.7699 Å, c = 6.7699 Å
α = 90.00°, β = 90.00°, γ = 90.00°
Element x y z (fractional)
Ce 0.0000 0.0000 0.0000
Ce 0.0000 0.5000 0.5000
Ce 0.5000 0.0000 0.5000
Ce 0.5000 0.5000 0.0000
Pu 0.0000 0.0000 0.5000
Pu 0.0000 0.5000 0.0000
Pu 0.5000 0.0000 0.0000
Pu 0.5000 0.5000 0.5000
Co 0.2500 0.2500 0.2500
Co 0.2500 0.7500 0.7500
Co 0.7500 0.2500 0.7500
Co 0.7500 0.7500 0.2500
Ru 0.2500 0.2500 0.7500
Ru 0.2500 0.7500 0.2500
Ru 0.7500 0.2500 0.2500
Ru 0.7500 0.7500 0.7500

Output
Spin magnetization (μB/f.u.): 4.39
Crystal system: cubic
VASP energy (eV/atom): -9.283
Formation enthalpy at 0 K (eV per atom): -0.1211
DOS at the Fermi energy (states/eV/cell): 31.064

=====

(5)
The following is a DFT calculation (PBE-GGA) of a relaxed structure of CePuCoTc.

a = 6.7603 Å, b = 6.7603 Å, c = 6.7603 Å
α = 90.00°, β = 90.00°, γ = 90.00°
Element x y z (fractional)
Ce 0.0000 0.0000 0.0000
Ce 0.0000 0.5000 0.5000
Ce 0.5000 0.0000 0.5000
Ce 0.5000 0.5000 0.0000
Pu 0.0000 0.0000 0.5000
Pu 0.0000 0.5000 0.0000
Pu 0.5000 0.0000 0.0000
Pu 0.5000 0.5000 0.5000
Co 0.2500 0.2500 0.7500
Co 0.2500 0.7500 0.2500
Co 0.7500 0.2500 0.2500
Co 0.7500 0.7500 0.7500
Tc 0.2500 0.2500 0.2500
Tc 0.2500 0.7500 0.7500
Tc 0.7500 0.2500 0.7500
Tc 0.7500 0.7500 0.2500

Output
Spin magnetization (μB/f.u.): 3.77
Crystal system: cubic
VASP energy (eV/atom): -9.404
Formation enthalpy at 0 K (eV per atom): 0.0304
DOS at the Fermi energy (states/eV/cell): 33.122

=====

(6)
The following is a DFT calculation (PBE-GGA) of a relaxed structure of CePuTlCo.

a = 3.3045 Å, b = 3.3045 Å, c = 8.4261 Å
α = 90.00°, β = 90.00°, γ = 90.00°
Element x y z (fractional)
Ce 0.0000 0.0000 0.0000
Pu 0.0000 0.0000 0.6063
Tl 0.5000 0.5000 0.3076
Co 0.5000 0.5000 0.8055

Output
Spin magnetization (μB/f.u.): 5.51
Crystal system: tetragonal
VASP energy (eV/atom): -7.525
Formation enthalpy at 0 K (eV per atom): -0.0904
DOS at the Fermi energy (states/eV/cell): 11.087

=====

(7)
The following is a DFT calculation (PBE-GGA) of a relaxed structure of CePuZnCo.

a = 6.9258 Å, b = 6.9258 Å, c = 6.9258 Å
α = 90.00°, β = 90.00°, γ = 90.00°
Element x y z (fractional)
Ce 0.0000 0.0000 0.0000
Ce 0.0000 0.5000 0.5000
Ce 0.5000 0.0000 0.5000
Ce 0.5000 0.5000 0.0000
Pu 0.0000 0.0000 0.5000
Pu 0.0000 0.5000 0.0000
Pu 0.5000 0.0000 0.0000
Pu 0.5000 0.5000 0.5000
Zn 0.2500 0.2500 0.7500
Zn 0.2500 0.7500 0.2500
Zn 0.7500 0.2500 0.2500
Zn 0.7500 0.7500 0.7500
Co 0.2500 0.2500 0.2500
Co 0.2500 0.7500 0.7500
Co 0.7500 0.2500 0.7500
Co 0.7500 0.7500 0.2500

Output
Spin magnetization (μB/f.u.): 5.08
Crystal system: cubic
VASP energy (eV/atom): -7.180
Formation enthalpy at 0 K (eV per atom): -0.0186
DOS at the Fermi energy (states/eV/cell): 32.335

=====

(8)
The following is a DFT calculation (PBE-GGA) of a relaxed structure of Rb3Ce2CoS6.

a = 6.9934 Å, b = 6.9934 Å, c = 7.9875 Å
α = 98.40°, β = 98.40°, γ = 119.95°
Element x y z (fractional)
Rb 0.0000 0.0000 0.0000
Rb 0.3337 0.6663 0.0000
Rb 0.6663 0.3337 0.0000
Ce 0.1667 0.8333 0.5000
Ce 0.8333 0.1667 0.5000
Co 0.5000 0.5000 0.5000
S 0.1186 0.4377 0.3132
S 0.2424 0.2424 0.6874
S 0.4377 0.1186 0.3132
S 0.5623 0.8814 0.6868
S 0.7576 0.7576 0.3126
S 0.8814 0.5623 0.6868

Output
Spin magnetization (μB/f.u.): 3.12
Crystal system: monoclinic
VASP energy (eV/atom): -5.198
DOS at the Fermi energy (states/eV/cell): 8.756

=====

(9)
The following is a DFT calculation (PBE-GGA) of a relaxed structure of Rb4Ce3CoS8.

a = 8.2161 Å, b = 8.2161 Å, c = 8.9948 Å
α = 117.21°, β = 117.21°, γ = 59.92°
Element x y z (fractional)
Rb 0.0000 0.0000 0.0000
Rb 0.0000 0.5000 0.0000
Rb 0.5000 0.0000 0.0000
Rb 0.5000 0.5000 0.0000
Ce 0.0000 0.0000 0.5000
Ce 0.0000 0.5000 0.5000
Ce 0.5000 0.0000 0.5000
Co 0.5000 0.5000 0.5000
S 0.2327 0.2327 0.6983
S 0.2391 0.7233 0.6861
S 0.2749 0.2749 0.3126
S 0.2767 0.7609 0.3139
S 0.7233 0.2391 0.6861
S 0.7251 0.7251 0.6874
S 0.7609 0.2767 0.3139
S 0.7673 0.7673 0.3017

Output
Spin magnetization (μB/f.u.): 4.08
Crystal system: monoclinic
VASP energy (eV/atom): -5.283
DOS at the Fermi energy (states/eV/cell): 16.310

=====

(10)
The following is a DFT calculation (PBE-GGA) of a relaxed structure of RbCeCoS3.

a = 9.1939 Å, b = 3.9621 Å, c = 9.3270 Å
α = 90.00°, β = 108.97°, γ = 90.00°
Element x y z (fractional)
Rb 0.1965 0.2500 0.2325
Rb 0.8035 0.7500 0.7675
Ce 0.3228 0.7500 0.8355
Ce 0.6772 0.2500 0.1645
Co 0.0814 0.2500 0.5876
Co 0.9186 0.7500 0.4124
S 0.1222 0.2500 0.8443
S 0.1696 0.7500 0.5271
S 0.4594 0.7500 0.1527
S 0.5406 0.2500 0.8473
S 0.8304 0.2500 0.4729
S 0.8778 0.7500 0.1557

Output
Spin magnetization (μB/f.u.): 1.80
Crystal system: monoclinic
VASP energy (eV/atom): -5.713
DOS at the Fermi energy (states/eV/cell): 8.187

=====

(11)
The following is a DFT calculation (PBE-GGA) of a relaxed structure of RbCeCoSe3.

a = 9.5755 Å, b = 4.1067 Å, c = 9.7629 Å
α = 90.00°, β = 110.10°, γ = 90.00°
Element x y z (fractional)
Rb 0.2002 0.2500 0.2324
Rb 0.7998 0.7500 0.7676
Ce 0.3205 0.7500 0.8363
Ce 0.6795 0.2500 0.1637
Co 0.0783 0.2500 0.5829
Co 0.9217 0.7500 0.4171
Se 0.1157 0.2500 0.8448
Se 0.1827 0.7500 0.5234
Se 0.4600 0.7500 0.1559
Se 0.5400 0.2500 0.8441
Se 0.8173 0.2500 0.4766
Se 0.8843 0.7500 0.1552

Output
Spin magnetization (μB/f.u.): 2.14
Crystal system: monoclinic
VASP energy (eV/atom): -5.260
DOS at the Fermi energy (states/eV/cell): 8.340

=====

Which of these has the lowest spin magnetization? RbCeCoS3

=====

The lowest DOS at the Fermi energy belongs to which entry? RbCeCoS3